[1]
A plane-wave DFT calculation with PBE-GGA was carried out for an optimized crystal structure of RbCaVSe4.

Computed properties:
Magnetic moment   0.00 μB/f.u.

Cell and atoms, written as extended XYZ:
```
14
Lattice="6.7738 0.0000 -0.1211 0.0000 7.1066 0.0000 -2.8128 0.0000 9.0656" Properties=species:S:1:pos:R:3 pbc="T T T"
V 0.5171 5.3300 2.9327
V 3.4439 1.7767 6.0118
Se 1.6484 1.7767 7.4299
Se 2.7973 1.7767 3.8430
Se -1.9461 7.0739 6.5006
Se -1.9461 3.5861 6.5006
Se 5.9071 0.0328 2.4439
Se 2.3126 5.3300 1.5146
Se 5.9071 3.5205 2.4439
Se 1.1637 5.3300 5.1015
Rb 2.3584 5.3300 8.3855
Rb 1.6026 1.7767 0.5590
Ca -0.0068 1.7767 4.9050
Ca 3.9678 5.3300 4.0396
```

[2]
A plane-wave DFT calculation with PBE-GGA was carried out for an optimized crystal structure of YMnCl2.

Computed properties:
Magnetic moment   4.00 μB/f.u.

Cell and atoms, written as extended XYZ:
```
4
Lattice="-4.6579 -1.5064 1.0872 -2.8155 -2.1863 -3.5270 -1.0453 -4.8951 0.3039" Properties=species:S:1:pos:R:3 pbc="T T T"
Cl -6.3890 -6.4409 -1.6019
Cl 0.0000 0.0000 0.0000
Y -2.1297 -2.1470 -0.5340
Mn -4.2593 -4.2939 -1.0680
```

[3]
A plane-wave DFT calculation with PBE-GGA was carried out for an optimized crystal structure of LiLaTb2Te4.

Computed properties:
Magnetic moment   0.00 μB/f.u.

Cell and atoms, written as extended XYZ:
```
8
Lattice="-3.2274 2.8274 0.9643 -3.3845 -5.3242 4.2833 4.8820 4.0726 4.3984" Properties=species:S:1:pos:R:3 pbc="T T T"
La 0.0000 0.0000 0.0000
Li -3.3059 -1.2484 2.6238
Tb 0.7488 -0.6258 4.3409
Tb 0.8273 3.4500 2.6813
Te -1.2522 1.0581 2.7347
Te -1.2844 -2.9250 4.2774
Te -0.4777 0.5176 6.9114
Te 2.7819 1.6734 4.4043
```

Number 1: raw formation energy -1.18 eV/atom, V 30.999 Å³ per atom. Number 2: raw formation energy -0.24 eV/atom, V 22.292 Å³ per atom. Number 3: raw formation energy -1.38 eV/atom, V 30.608 Å³ per atom.